Below is TaTlPb2 after structural relaxation, with properties calculated at the PBE-GGA level.

Cell: 5.3067 5.3067 5.3067 Å, 60.00 60.00 60.00°
With the nearest neighbours (Å) after each atom.
Fractional coordinates of all 4 atoms:
Pb  0.2500  0.2500  0.2500  4 Ta 3.25, 4 Pb 3.25
Tl  0.7500  0.7500  0.7500  4 Ta 3.25, 4 Pb 3.25
Pb  0.0000  0.0000  0.0000  4 Tl 3.25, 4 Pb 3.25
Ta  0.5000  0.5000  0.5000  4 Pb 3.25, 4 Tl 3.25

Results
- Magnetic moment: 2.07 Bohr magnetons per cell
- Energy of formation: 19.35 kcal/mol of atoms



Below is Rb2SiRhCl6 after structural relaxation, with properties calculated at the PBE-GGA level.

Cell: 7.2797 7.2797 6.8682 Å, 58.00 58.00 90.00°
With the nearest neighbours (Å) after each atom.
Fractional coordinates of all 10 atoms:
Cl  0.2543  0.2543  0.4914  1 Si 2.23, 1 Rh 2.31
Cl  0.7485  0.2515  0.0000  1 Si 2.56, 1 Rh 2.59
Rb  0.7500  0.2500  0.5000  12 Cl 3.43-3.64
Rh  0.0000  0.0000  0.0000  6 Cl 2.31-2.59
Cl  0.2515  0.2515  0.0000  1 Si 2.56, 1 Rh 2.59
Cl  0.2515  0.7485  0.0000  1 Si 2.56, 1 Rh 2.59
Cl  0.7457  0.7457  0.5086  1 Si 2.23, 1 Rh 2.31
Si  0.5000  0.5000  0.0000  2 Cl 2.23
Rb  0.2500  0.7500  0.5000  12 Cl 3.43-3.64
Cl  0.7485  0.7485  0.0000  1 Si 2.56, 1 Rh 2.59

Results
- Magnetic moment: 1.00 Bohr magnetons per cell
- Raw formation energy: -1026 meV per atom



Below is Cr2HIr after structural relaxation, with properties calculated at the PBE-GGA level.

Cell: 2.6729 4.6253 6.6453 Å, 103.51 90.00 90.00°
With the nearest neighbours (Å) after each atom.
Fractional coordinates of all 8 atoms:
Ir  0.2777  0.3430  0.0517  6 Cr 2.64, 6 Ir 2.67
Cr  0.7777  0.6204  0.3825  3 H 1.89
Cr  0.2777  0.5656  0.7209  3 H 1.89
H  0.7777  0.3432  0.5516  6 Cr 1.89
H  0.2777  0.8428  0.5518  6 Cr 1.89
Cr  0.2777  0.1203  0.3825  3 H 1.89
Cr  0.7777  0.0657  0.7208  3 H 1.89
Ir  0.7777  0.8430  0.0517  6 Cr 2.64, 6 Ir 2.67

Results
- Magnetic moment: 0.00 Bohr magnetons per cell



Below is LiCd2Cl after structural relaxation, with properties calculated at the PBE-GGA level.

Cell: 5.5152 5.5152 5.5152 Å, 130.83 130.83 72.08°
With the nearest neighbours (Å) after each atom.
Fractional coordinates of all 4 atoms:
Li  0.7500  0.2500  0.5000  8 Cd 3.20-3.25, 4 Cl 3.20
Cd  0.0000  0.0000  0.0000  4 Li 3.20, 4 Cd 3.20, 4 Cl 3.24-3.25
Cl  0.5000  0.5000  0.0000  8 Cd 3.20-3.25, 4 Li 3.20
Cd  0.2500  0.7500  0.5000  4 Cd 3.20, 4 Cl 3.20, 4 Li 3.24-3.25

Results
- Magnetic moment: 0.00 Bohr magnetons per cell
- Raw formation energy: -361 meV per atom



Below is TaRuO3 after structural relaxation, with properties calculated at the PBE-GGA level.

Cell: 3.8461 3.8461 3.8461 Å, 90.00 90.00 90.00°
With the nearest neighbours (Å) after each atom.
Fractional coordinates of all 5 atoms:
O  0.5000  0.0000  0.0000  2 Ru 1.92
Ru  0.0000  0.0000  0.0000  6 O 1.92
O  0.0000  0.5000  0.0000  2 Ru 1.92
O  0.0000  0.0000  0.5000  2 Ru 1.92
Ta  0.5000  0.5000  0.5000  12 O 2.72

Results
- Magnetic moment: 0.00 Bohr magnetons per cell
- Raw formation energy: -130 meV per atom



Below is Li3PPd4 after structural relaxation, with properties calculated at the PBE-GGA level.

Cell: 4.2468 4.2468 6.5253 Å, 108.98 108.99 90.00°
With the nearest neighbours (Å) after each atom.
Fractional coordinates of all 8 atoms:
Pd  0.3789  0.3785  0.7577  2 P 2.54-2.55, 6 Li 2.55-2.60, 1 Pd 2.81
Li  0.7509  0.2510  0.5018  8 Pd 2.59-2.60, 1 Li 2.89
Li  0.0000  0.5000  0.0000  8 Pd 2.55
Pd  0.6211  0.6215  0.2423  2 P 2.54-2.55, 6 Li 2.55-2.60, 1 Pd 2.81
Pd  0.1211  0.1211  0.2423  6 Li 2.55-2.60, 2 P 2.55, 1 Pd 2.81
Pd  0.8789  0.8789  0.7577  6 Li 2.55-2.60, 2 P 2.55, 1 Pd 2.81
Li  0.2491  0.7490  0.4982  8 Pd 2.59-2.60, 1 Li 2.89
P  0.5000  0.0000  0.0000  8 Pd 2.54-2.55

Results
- Magnetic moment: 0.00 Bohr magnetons per cell
- Energy of formation: -12.11 kcal/mol of atoms



Below is SrEu2Gd after structural relaxation, with properties calculated at the PBE-GGA level.

Cell: 3.8645 3.8645 11.1160 Å, 90.00 90.00 90.00°
With the nearest neighbours (Å) after each atom.
Fractional coordinates of all 4 atoms:
Eu  0.0000  0.0000  0.7739  4 Gd 3.71, 4 Eu 3.86, 4 Sr 4.09
Sr  0.5000  0.5000  0.5000  4 Sr 3.86, 8 Eu 4.09
Eu  0.0000  0.0000  0.2261  4 Gd 3.71, 4 Eu 3.86, 4 Sr 4.09
Gd  0.5000  0.5000  0.0000  8 Eu 3.71, 4 Gd 3.86

Results
- Magnetic moment: 7.13 Bohr magnetons per cell
- Energy of formation: 2.02 kcal/mol of atoms



Below is Rb4CaPa3O12 after structural relaxation, with properties calculated at the PBE-GGA level.

Cell: 7.7071 7.7071 7.7071 Å, 109.47 109.47 109.47°
With the nearest neighbours (Å) after each atom.
Fractional coordinates of all 20 atoms:
O  0.7500  0.5000  0.2500  2 Pa 2.22
Rb  0.5000  0.5000  0.5000  12 O 3.15
Ca  0.0000  0.0000  0.0000  6 O 2.41
O  0.5000  0.7500  0.2500  2 Pa 2.22
O  0.2500  0.7500  0.5000  2 Pa 2.22
Pa  0.5000  0.0000  0.5000  6 O 2.04-2.22
O  0.2706  0.0000  0.2706  1 Pa 2.04
O  0.7500  0.2500  0.5000  2 Pa 2.22
Rb  0.5000  0.0000  0.0000  12 O 3.15
O  0.5000  0.2500  0.7500  2 Pa 2.22
O  0.0000  0.7294  0.7294  1 Pa 2.04
O  0.2706  0.2706  0.0000  1 Pa 2.04
Pa  0.0000  0.5000  0.5000  6 O 2.04-2.22
O  0.7294  0.0000  0.7294  1 Pa 2.04
Rb  0.0000  0.5000  0.0000  12 O 3.15
O  0.2500  0.5000  0.7500  2 Pa 2.22
O  0.0000  0.2706  0.2706  1 Pa 2.04
O  0.7294  0.7294  0.0000  1 Pa 2.04
Pa  0.5000  0.5000  0.0000  6 O 2.04-2.22
Rb  0.0000  0.0000  0.5000  12 O 3.15

Results
- Magnetic moment: 2.97 Bohr magnetons per cell
- Raw formation energy: -2661 meV per atom



Summary of total energy in eV per atom
-4.57; -3.61; -7.93; -1.76; -7.33; -4.52; -8.99; -7.35
(order as listed above)